Computed, not measured: MnZnRe2 after structural relaxation at the PBE level of DFT.

Calculated values
D(E_F) ... 3.17 states/eV/f.u.
Energy of formation ... 0.192 eV per atom
Space-group type ... No. 44

Cell lengths 4.914, 4.914, 4.914 Å; angles 141.77, 129.23, 65.29 degrees
Sites, in units of the cell vectors:
Mn  0.000  0.000  0.000
Zn  0.755  0.255  0.500
Re  0.247  0.747  0.500
Re  0.493  0.493  0.000


Computed, not measured: Mn2ZnRe after structural relaxation at the PBE level of DFT.

Calculated values
D(E_F) ... 3.20 states/eV/f.u.
Energy of formation ... 0.155 eV per atom
Space-group type ... No. 8

Cell lengths 4.728, 4.728, 4.322 Å; angles 107.81, 107.81, 34.53 degrees
Sites, in units of the cell vectors:
Mn  0.000  0.000  0.000
Mn  0.734  0.734  0.262
Zn  0.488  0.488  0.487
Re  0.257  0.257  0.779